1.
DFT (PBEsol) results for a relaxed NaErF4 crystal.

## Properties
The calculation puts the density of states at the Fermi level at 0.00 states/eV/cell. For the uncorrected energy, the calculation gives -146.0 eV for the cell shown. Its formation energy without anion corrections is -3742.3 meV/atom.

Geometry as CIF:
```
data_NaErF4
_cell_length_a 5.366
_cell_length_b 5.366
_cell_length_c 10.520
_cell_angle_alpha 90.00
_cell_angle_beta 90.00
_cell_angle_gamma 90.00
_symmetry_space_group_name_H-M 'I 41/a m d'
_symmetry_Int_Tables_number 141
loop_
_symmetry_equiv_pos_as_xyz
'x,y,z'
'-x,-y,-z'
'-y+1/4,x+3/4,z+1/4'
'y+1/4,-x+3/4,-z+1/4'
'-x+1/2,-y,z+1/2'
'x+1/2,y,-z+1/2'
'y+1/4,-x+1/4,z+3/4'
'-y+1/4,x+1/4,-z+3/4'
'x,-y,-z'
'-x,y,z'
'-y+1/4,-x+1/4,-z+3/4'
'y+1/4,x+1/4,z+3/4'
'-x+1/2,y,-z+1/2'
'x+1/2,-y,z+1/2'
'y+1/4,x+3/4,-z+1/4'
'-y+1/4,-x+3/4,z+1/4'
'x+1/2,y+1/2,z+1/2'
'-x+1/2,-y+1/2,-z+1/2'
'-y+3/4,x+1/4,z+3/4'
'y+3/4,-x+1/4,-z+3/4'
'-x,-y+1/2,z'
'x,y+1/2,-z'
'y+3/4,-x+3/4,z+1/4'
'-y+3/4,x+3/4,-z+1/4'
'x+1/2,-y+1/2,-z+1/2'
'-x+1/2,y+1/2,z+1/2'
'-y+3/4,-x+3/4,-z+1/4'
'y+3/4,x+3/4,z+1/4'
'-x,y+1/2,-z'
'x,-y+1/2,z'
'y+3/4,x+1/4,-z+3/4'
'-y+3/4,-x+1/4,z+3/4'
loop_
_atom_site_label
_atom_site_type_symbol
_atom_site_fract_x
_atom_site_fract_y
_atom_site_fract_z
Na1 Na 0.000 0.250 0.375
Er1 Er 0.000 0.250 0.875
F1 F 0.230 0.000 0.000
```

=====

2.
DFT (PBEsol) results for a relaxed NaErPO4F crystal.

## Properties
The calculation puts the density of states at the Fermi level at 0.00 states/eV/cell. For the uncorrected energy, the calculation gives -236.3 eV for the cell shown. Its formation energy without anion corrections is -3002.9 meV/atom.

Geometry as CIF:
```
data_NaErPO4F
_cell_length_a 8.853
_cell_length_b 6.875
_cell_length_c 6.407
_cell_angle_alpha 90.00
_cell_angle_beta 106.25
_cell_angle_gamma 90.00
_symmetry_space_group_name_H-M 'C 1 2/m 1'
_symmetry_Int_Tables_number 12
_symmetry_space_group_name_Hall '-C 2y'
loop_
_atom_site_label
_atom_site_type_symbol
_atom_site_fract_x
_atom_site_fract_y
_atom_site_fract_z
Na1 Na 0.000 0.207 0.000
Er1 Er 0.216 0.000 0.615
P1 P 0.154 0.500 0.776
O1 O 0.021 0.500 0.231
O2 O 0.196 0.322 0.654
O3 O 0.243 0.000 0.987
F1 F 0.018 0.000 0.312
```

=====

3.
DFT (PBEsol) results for a relaxed ErOF crystal.

## Properties
The calculation puts the density of states at the Fermi level at 0.00 states/eV/cell. For the uncorrected energy, the calculation gives -144.3 eV for the cell shown. Its formation energy without anion corrections is -3979.8 meV/atom.

Geometry as CIF:
```
data_ErOF
_cell_length_a 3.7290
_cell_length_b 3.7290
_cell_length_c 18.5656
_cell_angle_alpha 90.00
_cell_angle_beta 90.00
_cell_angle_gamma 120.00
_symmetry_space_group_name_H-M 'R -3 m'
_symmetry_Int_Tables_number 166
_symmetry_space_group_name_Hall '-R 3 2"'
loop_
_atom_site_label
_atom_site_type_symbol
_atom_site_fract_x
_atom_site_fract_y
_atom_site_fract_z
Er1 Er 0.0000 0.0000 0.2413
O1 O 0.0000 0.0000 0.1214
F1 F 0.0000 0.0000 0.3698
```